DFT (PBE) results for crystalline Ca2ScCr at its relaxed geometry.

Results
The value obtained for the formation enthalpy at 0 K is 0.48 eV per atom. The energy relative to the lowest polymorph listed for this composition is 0.1822 eV/atom. As for the symmetry: Immm, No. 71. The spin magnetization comes out at 6.8 μB/cell.

Cell: 3.872 5.332 10.890 Å, 90.00 90.00 90.00°
Fractional positions:
Ca  0.000  0.000  0.224
Ca  0.000  0.000  0.776
Ca  0.500  0.500  0.276
Ca  0.500  0.500  0.724
Sc  0.000  0.500  0.000
Sc  0.500  0.000  0.500
Cr  0.000  0.500  0.500
Cr  0.500  0.000  0.000